No. 1
The following is a PBE calculation of an optimized crystal structure of CrAg3Cl7, from the Alexandria database.

Values from the calculation:
E_tot	-3.46	eV per atom

abc: 10.4443 8.0845 8.0114
angles: 90.00 118.41 90.00
Space group Cm (No. 8)
Inequivalent atoms, fractional coordinates:
Cr 0.0000 0.0000 0.0000 [2 per cell]
Ag 0.3643 0.2292 0.2567 [4 per cell]
Ag 0.4285 0.0000 0.7941 [2 per cell]
Cl 0.1044 0.2074 0.2391 [4 per cell]
Cl 0.2046 0.0000 0.9578 [2 per cell]
Cl 0.2935 0.5000 0.0699 [2 per cell]
Cl 0.3817 0.3021 0.7664 [4 per cell]
Cl 0.4742 0.0000 0.4915 [2 per cell]

No. 2
The following is a PBE calculation of an optimized crystal structure of Cr4AgCl, from the Alexandria database.

Values from the calculation:
E_tot	-6.27	eV per atom

abc: 6.9573 6.9573 6.9573
angles: 90.00 90.00 90.00
Space group F-43m (No. 216)
Inequivalent atoms, fractional coordinates:
Cr 0.1226 0.1226 0.1226 [16 per cell]
Ag 0.2500 0.2500 0.7500 [4 per cell]
Cl 0.0000 0.0000 0.5000 [4 per cell]

No. 3
The following is a PBE calculation of an optimized crystal structure of CsCrAgCl6, from the Alexandria database.

Values from the calculation:
E_tot	-3.78	eV per atom

abc: 6.5635 6.5754 7.6354
angles: 90.91 91.13 117.16
Space group P1 (No. 1)
Inequivalent atoms, fractional coordinates:
Cs 0.0000 0.0000 0.0000 [1 per cell]
Cr 0.6524 0.3464 0.4992 [1 per cell]
Ag 0.3181 0.6842 0.4995 [1 per cell]
Cl 0.3650 0.0529 0.6532 [1 per cell]
Cl 0.3742 0.3877 0.3151 [1 per cell]
Cl 0.6134 0.6224 0.6858 [1 per cell]
Cl 0.6464 0.0751 0.3021 [1 per cell]
Cl 0.9248 0.3475 0.6933 [1 per cell]
Cl 0.9446 0.6332 0.3454 [1 per cell]

No. 4
The following is a PBE calculation of an optimized crystal structure of CsCr2AgCl8, from the Alexandria database.

Values from the calculation:
E_tot	-4.15	eV per atom

abc: 6.6957 6.6957 28.2982
angles: 90.00 90.00 120.00
Space group R-3 (No. 148, hexagonal axes)
Inequivalent atoms, fractional coordinates:
Cs 0.0000 0.0000 0.0000 [3 per cell]
Cr 0.0000 0.0000 0.2426 [6 per cell]
Ag 0.0000 0.0000 0.5000 [3 per cell]
Cl 0.0000 0.0000 0.3202 [6 per cell]
Cl 0.0049 0.6584 0.8906 [18 per cell]

No. 5
The following is a PBE calculation of an optimized crystal structure of CsCrAg2Cl8, from the Alexandria database.

Values from the calculation:
E_tot	-3.46	eV per atom

abc: 6.3567 6.8493 8.5994
angles: 77.35 83.07 89.85
Space group P-1 (No. 2)
Inequivalent atoms, fractional coordinates:
Cs 0.0000 0.0000 0.0000 [1 per cell]
Cr 0.0000 0.5000 0.5000 [1 per cell]
Ag 0.4218 0.4980 0.2158 [2 per cell]
Cl 0.1314 0.4994 0.7421 [2 per cell]
Cl 0.2361 0.2520 0.4525 [2 per cell]
Cl 0.2520 0.7483 0.3648 [2 per cell]
Cl 0.4926 0.2434 0.0443 [2 per cell]

No. 6
The following is a PBE calculation of an optimized crystal structure of CrCuAgCl6, from the Alexandria database.

Values from the calculation:
E_tot	-3.80	eV per atom

abc: 6.2096 6.2096 11.8658
angles: 90.00 90.00 120.00
Space group P-31c (No. 163)
Inequivalent atoms, fractional coordinates:
Cr 0.3333 0.6667 0.2500 [2 per cell]
Cu 0.3333 0.6667 0.7500 [2 per cell]
Ag 0.0000 0.0000 0.0000 [2 per cell]
Cl 0.0118 0.3653 0.1370 [12 per cell]

Number 1: formation energy from raw total energies -637 meV per atom, Fermi-level density of states 0.578 states/eV/atom. Number 2: formation energy from raw total energies 930 meV per atom, Fermi-level density of states 1.095 states/eV/atom. Number 3: formation energy from raw total energies -1065 meV per atom, Fermi-level density of states 0.568 states/eV/atom. Number 4: formation energy from raw total energies -1005 meV per atom, Fermi-level density of states 0.927 states/eV/atom. Number 5: formation energy from raw total energies -881 meV per atom, Fermi-level density of states 1.040 states/eV/atom. Number 6: formation energy from raw total energies -726 meV per atom, Fermi-level density of states 0.549 states/eV/atom.